[1]
Here is a relaxed P2RuNO crystal from Alexandria via LeMat-Bulk. Energies are from GGA-PBE.

a b c (Å): 3.347 2.797 6.981
angles (deg): 90.00 102.53 90.00
Space group Pm (No. 6)
Unique sites:
P1 0.000 0.000 0.000
P2 0.052 0.000 0.464
Ru1 0.613 0.500 0.598
N1 0.726 0.500 0.907
O1 0.895 0.000 0.226

Values from the calculation:
offset from the most stable computed form = 219 meV/atom
E = -0.259 hartree per atom
energy relative to the elements, uncorrected = -1.89 eV per formula unit

***

[2]
Here is a relaxed PuAlAu3 crystal from Alexandria via LeMat-Bulk. Energies are from GGA-PBE.

a b c (Å): 6.6324 6.6324 5.5626
angles (deg): 90.00 90.00 120.00
Space group P6_3/mmc (No. 194)
Unique sites:
Pu1 0.3333 0.6667 0.2500
Al1 0.0000 0.0000 0.0000
Au1 0.1913 0.3826 0.7500

Values from the calculation:
ΔE_f = -39.5 kJ/mol of atoms
E = -0.220 hartree per atom

***

[3]
Here is a relaxed AgSe crystal from Alexandria via LeMat-Bulk. Energies are from GGA-PBE.

a b c (Å): 7.339 7.339 7.339
angles (deg): 90.00 90.00 90.00
Space group Pm-3n (No. 223)
Unique sites:
Ag1 0.000 0.250 0.500
Se1 0.000 0.500 0.250

Values from the calculation:
E = -0.111 hartree per atom
energy relative to the elements, uncorrected = 0.28 eV per formula unit